# 1
Computed, not measured: a relaxed NaCu3As2 crystal at the GGA-PBE level of DFT.

The structure in CIF format:
```
data_NaCu3As2
_space_group_name_H-M_alt 'C 1 2/m 1'
_space_group_IT_number 12
_cell_length_a 15.247
_cell_length_b 3.973
_cell_length_c 7.344
_cell_angle_alpha 90.00
_cell_angle_beta 111.81
_cell_angle_gamma 90.00
loop_
_space_group_symop_operation_xyz
'x,y,z'
'-x,-y,-z'
'-x,y,-z'
'x,-y,z'
'x+1/2,y+1/2,z'
'-x+1/2,-y+1/2,-z'
'-x+1/2,y+1/2,-z'
'x+1/2,-y+1/2,z'
loop_
_atom_site_label
_atom_site_type_symbol
_atom_site_fract_x
_atom_site_fract_y
_atom_site_fract_z
_atom_site_occupancy
Na1 Na 0.154 0.000 0.065 1
Cu1 Cu 0.046 0.000 0.384 1
Cu2 Cu 0.087 0.500 0.658 1
Cu3 Cu 0.189 0.500 0.453 1
As1 As 0.028 0.500 0.185 1
As2 As 0.189 0.000 0.686 1
```

Summary:
raw total energy: -3.982 eV/atom
calculated formation energy: -15.8 kJ/mol of atoms
total magnetic moment: 0.00 μB/cell
energy above the most stable polymorph in this dataset: 0.0 kJ per mole of atoms

=====

# 2
Computed, not measured: a relaxed ScSi2BrF crystal at the GGA-PBE level of DFT.

The structure in CIF format:
```
data_ScSi2BrF
_space_group_name_H-M_alt 'P 4/m m m'
_space_group_IT_number 123
_space_group_name_Hall '-P 4 2'
_cell_length_a 5.030
_cell_length_b 5.030
_cell_length_c 4.116
_cell_angle_alpha 90.00
_cell_angle_beta 90.00
_cell_angle_gamma 90.00
loop_
_atom_site_label
_atom_site_type_symbol
_atom_site_fract_x
_atom_site_fract_y
_atom_site_fract_z
_atom_site_occupancy
Sc1 Sc 0.000 0.000 0.000 1
Si1 Si 0.000 0.500 0.500 1
Br1 Br 0.500 0.500 0.000 1
F1 F 0.000 0.000 0.500 1
```

Summary:
raw total energy: -4.196 eV/atom
total magnetic moment: 0.00 μB/cell
energy relative to the elements, uncorrected: -0.3 eV/f.u.

=====

# 3
Computed, not measured: a relaxed AlB2 crystal at the GGA-PBE level of DFT.

The structure in CIF format:
```
data_AlB2
_space_group_name_H-M_alt 'P 6/m m m'
_space_group_IT_number 191
_space_group_name_Hall '-P 6 2'
_cell_length_a 3.0035
_cell_length_b 3.0035
_cell_length_c 3.2868
_cell_angle_alpha 90.00
_cell_angle_beta 90.00
_cell_angle_gamma 120.00
loop_
_atom_site_label
_atom_site_type_symbol
_atom_site_fract_x
_atom_site_fract_y
_atom_site_fract_z
_atom_site_occupancy
Al1 Al 0.0000 0.0000 0.0000 1
B1 B 0.3333 0.6667 0.5000 1
```

Summary:
raw total energy: -5.752 eV/atom
calculated formation energy: -5.1 kJ/mol of atoms
total magnetic moment: 0.00 μB/cell

=====

# 4
Computed, not measured: a relaxed Ni2HgPt crystal at the GGA-PBE level of DFT.

The structure in CIF format:
```
data_Ni2HgPt
_space_group_name_H-M_alt 'I m m 2'
_space_group_IT_number 44
_cell_length_a 2.894
_cell_length_b 4.451
_cell_length_c 9.006
_cell_angle_alpha 90.00
_cell_angle_beta 90.00
_cell_angle_gamma 90.00
loop_
_space_group_symop_operation_xyz
'x,y,z'
'-x,-y,z'
'-x,y,z'
'x,-y,z'
'x+1/2,y+1/2,z+1/2'
'-x+1/2,-y+1/2,z+1/2'
'-x+1/2,y+1/2,z+1/2'
'x+1/2,-y+1/2,z+1/2'
loop_
_atom_site_label
_atom_site_type_symbol
_atom_site_fract_x
_atom_site_fract_y
_atom_site_fract_z
_atom_site_occupancy
Ni1 Ni 0.000 0.000 0.000 1
Ni2 Ni 0.000 0.500 0.281 1
Hg1 Hg 0.000 0.000 0.525 1
Pt1 Pt 0.000 0.500 0.749 1
```

Summary:
raw total energy: -4.343 eV/atom
calculated formation energy: 12.9 kJ/mol of atoms
total magnetic moment: 1.50 μB/cell

=====

# 5
Computed, not measured: a relaxed CuCN3 crystal at the GGA-PBE level of DFT.

The structure in CIF format:
```
data_CuCN3
_space_group_name_H-M_alt 'P m -3 m'
_space_group_IT_number 221
_space_group_name_Hall '-P 4 2 3'
_cell_length_a 3.322
_cell_length_b 3.322
_cell_length_c 3.322
_cell_angle_alpha 90.00
_cell_angle_beta 90.00
_cell_angle_gamma 90.00
loop_
_atom_site_label
_atom_site_type_symbol
_atom_site_fract_x
_atom_site_fract_y
_atom_site_fract_z
_atom_site_occupancy
Cu1 Cu 0.000 0.000 0.000 1
C1 C 0.500 0.500 0.500 1
N1 N 0.000 0.500 0.500 1
```

Summary:
raw total energy: -5.085 eV/atom
total magnetic moment: 0.00 μB/cell
energy relative to the elements, uncorrected: 12.9 eV/f.u.

=====

# 6
Computed, not measured: a relaxed ZrAlAg crystal at the GGA-PBE level of DFT.

The structure in CIF format:
```
data_ZrAlAg
_space_group_name_H-M_alt 'I m m a'
_space_group_IT_number 74
_space_group_name_Hall '-I 2b 2'
_cell_length_a 5.426
_cell_length_b 5.444
_cell_length_c 7.524
_cell_angle_alpha 90.00
_cell_angle_beta 90.00
_cell_angle_gamma 90.00
loop_
_atom_site_label
_atom_site_type_symbol
_atom_site_fract_x
_atom_site_fract_y
_atom_site_fract_z
_atom_site_occupancy
Zr1 Zr 0.000 0.250 0.131 1
Al1 Al 0.000 0.000 0.500 1
Ag1 Ag 0.250 0.250 0.750 1
```

Summary:
raw total energy: -5.329 eV/atom
calculated formation energy: -27.2 kJ/mol of atoms
total magnetic moment: 2.94 μB/cell

=====

# 7
Computed, not measured: a relaxed Be2POs crystal at the GGA-PBE level of DFT.

The structure in CIF format:
```
data_Be2POs
_space_group_name_H-M_alt 'P 4/m m m'
_space_group_IT_number 123
_space_group_name_Hall '-P 4 2'
_cell_length_a 3.004
_cell_length_b 3.004
_cell_length_c 4.714
_cell_angle_alpha 90.00
_cell_angle_beta 90.00
_cell_angle_gamma 90.00
loop_
_atom_site_label
_atom_site_type_symbol
_atom_site_fract_x
_atom_site_fract_y
_atom_site_fract_z
_atom_site_occupancy
Be1 Be 0.000 0.000 0.247 1
P1 P 0.500 0.500 0.000 1
Os1 Os 0.500 0.500 0.500 1
```

Summary:
raw total energy: -6.223 eV/atom
calculated formation energy: -19.3 kJ/mol of atoms
total magnetic moment: 0.00 μB/cell

=====

# 8
Computed, not measured: a relaxed CsZnPS2 crystal at the GGA-PBE level of DFT.

The structure in CIF format:
```
data_CsZnPS2
_space_group_name_H-M_alt 'P 4/m m m'
_space_group_IT_number 123
_space_group_name_Hall '-P 4 2'
_cell_length_a 5.613
_cell_length_b 5.613
_cell_length_c 7.418
_cell_angle_alpha 90.00
_cell_angle_beta 90.00
_cell_angle_gamma 90.00
loop_
_atom_site_label
_atom_site_type_symbol
_atom_site_fract_x
_atom_site_fract_y
_atom_site_fract_z
_atom_site_occupancy
Cs1 Cs 0.000 0.000 0.000 1
Zn1 Zn 0.500 0.500 0.500 1
P1 P 0.000 0.000 0.500 1
S1 S 0.000 0.500 0.000 1
```

Summary:
raw total energy: -1.684 eV/atom
total magnetic moment: 3.58 μB/cell
energy above the most stable polymorph in this dataset: 125.7 kJ per mole of atoms
energy relative to the elements, uncorrected: 7.4 eV/f.u.

=====

# 9
Computed, not measured: a relaxed KCaF3 crystal at the GGA-PBE level of DFT.

The structure in CIF format:
```
data_KCaF3
_space_group_name_H-M_alt 'P n m a'
_space_group_IT_number 62
_cell_length_a 6.310
_cell_length_b 8.824
_cell_length_c 6.204
_cell_angle_alpha 90.00
_cell_angle_beta 90.00
_cell_angle_gamma 90.00
loop_
_space_group_symop_operation_xyz
'x,y,z'
'-x,-y,-z'
'-x+1/2,-y,z+1/2'
'x+1/2,y,-z+1/2'
'x+1/2,-y+1/2,-z+1/2'
'-x+1/2,y+1/2,z+1/2'
'-x,y+1/2,-z'
'x,-y+1/2,z'
loop_
_atom_site_label
_atom_site_type_symbol
_atom_site_fract_x
_atom_site_fract_y
_atom_site_fract_z
_atom_site_occupancy
K1 K 0.039 0.250 0.010 1
Ca1 Ca 0.000 0.000 0.500 1
F1 F 0.028 0.750 0.418 1
F2 F 0.211 0.543 0.790 1
```

Summary:
raw total energy: -5.216 eV/atom
total magnetic moment: 0.38 μB/cell
energy relative to the elements, uncorrected: -17.4 eV/f.u.

=====

# 10
Computed, not measured: a relaxed Pm4Ag2HgAu crystal at the GGA-PBE level of DFT.

The structure in CIF format:
```
data_Pm4Ag2HgAu
_space_group_name_H-M_alt 'R -3 m'
_space_group_IT_number 166
_space_group_name_Hall '-R 3 2"'
_cell_length_a 5.2878
_cell_length_b 5.2878
_cell_length_c 25.8846
_cell_angle_alpha 90.00
_cell_angle_beta 90.00
_cell_angle_gamma 120.00
loop_
_atom_site_label
_atom_site_type_symbol
_atom_site_fract_x
_atom_site_fract_y
_atom_site_fract_z
_atom_site_occupancy
Pm1 Pm 0.0000 0.0000 0.1217 1
Pm2 Pm 0.0000 0.0000 0.3719 1
Ag1 Ag 0.0000 0.0000 0.2462 1
Hg1 Hg 0.0000 0.0000 0.5000 1
Au1 Au 0.0000 0.0000 0.0000 1
```

Summary:
raw total energy: -3.991 eV/atom
calculated formation energy: -43.9 kJ/mol of atoms
total magnetic moment: 0.00 μB/cell

=====

# 11
Computed, not measured: a relaxed Sm2Zn3Au crystal at the GGA-PBE level of DFT.

The structure in CIF format:
```
data_Sm2Zn3Au
_space_group_name_H-M_alt 'F m m m'
_space_group_IT_number 69
_space_group_name_Hall '-F 2 2'
_cell_length_a 7.111
_cell_length_b 9.132
_cell_length_c 15.909
_cell_angle_alpha 90.00
_cell_angle_beta 90.00
_cell_angle_gamma 90.00
loop_
_atom_site_label
_atom_site_type_symbol
_atom_site_fract_x
_atom_site_fract_y
_atom_site_fract_z
_atom_site_occupancy
Sm1 Sm 0.242 0.000 0.000 1
Sm2 Sm 0.250 0.250 0.250 1
Zn1 Zn 0.000 0.000 0.337 1
Zn2 Zn 0.000 0.245 0.418 1
Au1 Au 0.000 0.000 0.168 1
```

Summary:
raw total energy: -3.261 eV/atom
calculated formation energy: -48.7 kJ/mol of atoms
total magnetic moment: 0.00 μB/cell
energy above the most stable polymorph in this dataset: 0.0 kJ per mole of atoms

=====

# 12
Computed, not measured: a relaxed Sr2ZrGeO6 crystal at the GGA-PBE level of DFT.

The structure in CIF format:
```
data_Sr2ZrGeO6
_space_group_name_H-M_alt 'P 4/m m m'
_space_group_IT_number 123
_space_group_name_Hall '-P 4 2'
_cell_length_a 4.094
_cell_length_b 4.094
_cell_length_c 7.901
_cell_angle_alpha 90.00
_cell_angle_beta 90.00
_cell_angle_gamma 90.00
loop_
_atom_site_label
_atom_site_type_symbol
_atom_site_fract_x
_atom_site_fract_y
_atom_site_fract_z
_atom_site_occupancy
Sr1 Sr 0.000 0.000 0.231 1
Zr1 Zr 0.500 0.500 0.500 1
Ge1 Ge 0.500 0.500 0.000 1
O1 O 0.000 0.500 0.000 1
O2 O 0.000 0.500 0.500 1
O3 O 0.500 0.500 0.232 1
```

Summary:
raw total energy: -7.309 eV/atom
total magnetic moment: 0.00 μB/cell
energy above the most stable polymorph in this dataset: 6.0 kJ per mole of atoms
energy relative to the elements, uncorrected: -26.8 eV/f.u.

=====

Number 10 is which compound? Pm4Ag2HgAu

=====

Number 2 is which compound? ScSi2BrF